(1)
An optimized crystal structure of Y2Pb2F, computed with PBE.

Geometry as POSCAR:
```
Y2Pb2F
1.0
-0.158 -3.977 -1.870
2.960 1.287 -2.987
7.379 -3.859 2.413
Y Pb F
2 2 1
Cartesian
2.673 -1.880 -1.398
7.508 -4.669 -1.046
5.870 -1.958 -1.501
4.311 -4.591 -0.943
0.000 0.000 0.000
```

Values from the calculation:
Offset from the most stable computed form: 781.4 meV/atom
Formation energy without anion corrections: -0.44 eV/atom
Space-group type: No. 139


(2)
An optimized crystal structure of Y2PbF2, computed with PBE.

Geometry as POSCAR:
```
Y2PbF2
1.0
-7.902 0.168 2.163
0.622 -7.651 2.868
0.805 1.135 2.853
Y F Pb
4 4 2
Cartesian
-6.344 -4.801 3.700
-2.264 -6.473 3.214
-5.016 -1.010 1.817
-0.935 -2.682 1.331
-3.782 -6.214 5.305
-6.457 -2.339 4.519
-0.017 -4.009 3.366
-2.693 -0.133 2.579
0.000 0.000 0.000
-3.640 -3.741 2.516
```

Values from the calculation:
Offset from the most stable computed form: 660.4 meV/atom
Formation energy without anion corrections: -1.67 eV/atom
Space-group type: No. 127


(3)
An optimized crystal structure of YPbF, computed with PBE.

Geometry as POSCAR:
```
YPbF
1.0
6.081 0.000 0.000
0.000 6.435 -0.027
0.000 -0.946 7.179
Pb F Y
4 4 4
Cartesian
1.905 4.992 3.597
4.176 0.496 3.555
4.945 0.023 7.145
1.136 5.465 0.008
5.473 3.366 2.576
3.648 2.893 6.166
2.433 2.596 0.986
0.608 2.123 4.576
5.052 3.920 4.757
2.012 1.095 5.985
1.029 1.568 2.395
4.069 4.394 1.168
```

Values from the calculation:
Formation energy without anion corrections: -1.87 eV/atom
Space-group type: No. 14


(4)
An optimized crystal structure of Y2Pb2F, computed with PBE.

Geometry as POSCAR:
```
Y2Pb2F
1.0
6.060 0.000 0.000
0.000 6.060 0.000
3.030 3.030 4.284
Pb F Y
2 1 2
Cartesian
6.060 6.060 2.704
3.030 3.030 1.581
0.000 0.000 0.000
6.060 3.030 2.142
3.030 6.060 2.142
```

Values from the calculation:
Offset from the most stable computed form: 761.5 meV/atom
Formation energy without anion corrections: -0.46 eV/atom
Space-group type: No. 139